Material: Sr3GeOs
Method: DFT, PBE
State: optimized geometry

Cell: 5.6915 5.6915 5.6915 Å, 90.00 90.00 90.00°
With the nearest neighbours (Å) after each atom.
Element x y z (fractional)
Sr (0.0000, 0.5000, 0.0000)  2 Os 2.85
Sr (0.0000, 0.0000, 0.5000)  2 Os 2.85
Sr (0.5000, 0.0000, 0.0000)  2 Os 2.85
Ge (0.5000, 0.5000, 0.5000)  12 Sr 4.02
Os (0.0000, 0.0000, 0.0000)  6 Sr 2.85

Properties
E = -3.676 eV per atom
Size of the total moment = 0.83 μB per cell
Volume = 184.4 Å³/cell